1:
An optimized crystal structure of BaIr2Pt. Source: Alexandria via LeMat-Bulk, functional PBEsol.

a b c (Å): 4.727 4.727 4.727
angles (deg): 60.00 60.00 60.00
Fractional positions:
Ba 0.000 0.000 0.000
Ir 0.250 0.250 0.250
Ir 0.750 0.750 0.750
Pt 0.500 0.500 0.500

## Properties
space group	Fm-3m, No. 225

***

2:
An optimized crystal structure of BaIr2Pt. Source: Alexandria via LeMat-Bulk, functional PBEsol.

a b c (Å): 5.847 5.847 2.885
angles (deg): 103.65 103.65 120.97
Fractional positions:
Ba 0.000 0.000 0.000
Ir 0.000 0.500 0.500
Ir 0.500 0.000 0.500
Pt 0.500 0.500 0.000

## Properties
space group	C2/m, No. 12

***

3:
An optimized crystal structure of BaIr2Pt. Source: Alexandria via LeMat-Bulk, functional PBEsol.

a b c (Å): 5.130 5.130 5.130
angles (deg): 131.43 131.43 71.13
Fractional positions:
Ba 0.000 0.000 0.000
Ir 0.250 0.750 0.500
Ir 0.750 0.250 0.500
Pt 0.500 0.500 0.000

## Properties
space group	I4/mmm, No. 139

***

4:
An optimized crystal structure of BaIr2Pt. Source: Alexandria via LeMat-Bulk, functional PBEsol.

a b c (Å): 5.084 5.084 5.084
angles (deg): 130.34 130.34 72.87
Fractional positions:
Ba 0.000 0.000 0.000
Ir 0.500 0.500 0.000
Ir 0.750 0.250 0.500
Pt 0.250 0.750 0.500

## Properties
space group	I-4m2, No. 119

***

Which of them is most stable, and which least? Most stable: 2; least stable: 1.

***

1:
An optimized crystal structure of BaIr2Pt. Source: Alexandria via LeMat-Bulk, functional PBEsol.

a b c (Å): 2.889 4.637 6.031
angles (deg): 90.00 101.36 90.00
Fractional positions:
Ba 0.000 0.000 0.000
Ir 0.321 0.500 0.679
Ir 0.679 0.500 0.321
Pt 0.500 0.000 0.500

## Properties
space group	P2/m, No. 10

***

2:
An optimized crystal structure of BaIr2Pt. Source: Alexandria via LeMat-Bulk, functional PBEsol.

a b c (Å): 5.948 5.948 5.948
angles (deg): 152.07 129.62 58.58
Fractional positions:
Ba 0.000 0.000 0.000
Ir 0.277 0.777 0.500
Ir 0.723 0.223 0.500
Pt 0.500 0.500 0.000

## Properties
space group	Immm, No. 71

***

Which of them is most stable, and which least? Most stable: 1; least stable: 2.

***

1:
An optimized crystal structure of Ba2IrRh. Source: Alexandria via LeMat-Bulk, functional PBEsol.

a b c (Å): 4.569 5.893 5.893
angles (deg): 48.91 90.00 90.00
Fractional positions:
Ba 0.000 0.000 0.000
Ba 0.500 0.295 0.295
Ir 0.000 0.685 0.685
Rh 0.500 0.613 0.613

## Properties
space group	Amm2, No. 38

***

2:
An optimized crystal structure of Ba2IrRh. Source: Alexandria via LeMat-Bulk, functional PBEsol.

a b c (Å): 4.920 4.920 4.122
angles (deg): 90.00 90.00 90.00
Fractional positions:
Ba 0.000 0.500 0.000
Ba 0.500 0.000 0.000
Ir 0.000 0.000 0.500
Rh 0.500 0.500 0.500

## Properties
space group	P4/mmm, No. 123

***

Which of them is most stable, and which least? Most stable: 1; least stable: 2.

***

1:
An optimized crystal structure of BaIr2Ru. Source: Alexandria via LeMat-Bulk, functional PBEsol.

a b c (Å): 5.857 5.857 5.857
angles (deg): 151.70 128.01 60.24
Fractional positions:
Ba 0.000 0.000 0.000
Ir 0.496 0.496 0.000
Ir 0.718 0.218 0.500
Ru 0.282 0.782 0.500

## Properties
space group	Imm2, No. 44

***

2:
An optimized crystal structure of BaIr2Ru. Source: Alexandria via LeMat-Bulk, functional PBEsol.

a b c (Å): 5.177 5.177 2.878
angles (deg): 90.00 90.00 112.00
Fractional positions:
Ba 0.000 0.000 0.000
Ir 0.000 0.500 0.500
Ir 0.500 0.000 0.500
Ru 0.500 0.500 0.000

## Properties
space group	Cmmm, No. 65

***

3:
An optimized crystal structure of BaIr2Ru. Source: Alexandria via LeMat-Bulk, functional PBEsol.

a b c (Å): 4.062 4.062 4.372
angles (deg): 90.00 90.00 90.00
Fractional positions:
Ba 0.000 0.000 0.000
Ir 0.000 0.500 0.500
Ir 0.500 0.000 0.500
Ru 0.500 0.500 0.000

## Properties
space group	P4/mmm, No. 123

***

4:
An optimized crystal structure of BaIr2Ru. Source: Alexandria via LeMat-Bulk, functional PBEsol.

a b c (Å): 4.728 4.728 4.728
angles (deg): 60.00 60.00 60.00
Fractional positions:
Ba 0.000 0.000 0.000
Ir 0.250 0.250 0.250
Ir 0.750 0.750 0.750
Ru 0.500 0.500 0.500

## Properties
space group	Fm-3m, No. 225

***

Which of them is most stable, and which least? Most stable: 1; least stable: 4.

***

1:
An optimized crystal structure of BaSc2Ir. Source: Alexandria via LeMat-Bulk, functional PBEsol.

a b c (Å): 8.281 8.281 8.281
angles (deg): 28.58 28.58 28.58
Fractional positions:
Ba 0.000 0.000 0.000
Sc 0.213 0.213 0.213
Sc 0.787 0.787 0.787
Ir 0.500 0.500 0.500

## Properties
space group	R-3m, No. 166

***

2:
An optimized crystal structure of BaSc2Ir. Source: Alexandria via LeMat-Bulk, functional PBEsol.

a b c (Å): 4.374 4.374 4.754
angles (deg): 90.00 90.00 90.00
Fractional positions:
Ba 0.000 0.000 0.000
Sc 0.000 0.500 0.500
Sc 0.500 0.000 0.500
Ir 0.500 0.500 0.000

## Properties
space group	P4/mmm, No. 123

***

Which of them is most stable, and which least? Most stable: 1; least stable: 2.

***

1:
An optimized crystal structure of BaSr2Ir. Source: Alexandria via LeMat-Bulk, functional PBEsol.

a b c (Å): 3.745 3.745 10.658
angles (deg): 90.00 90.00 90.00
Fractional positions:
Ba 0.000 0.000 0.000
Sr 0.000 0.000 0.680
Sr 0.500 0.500 0.352
Ir 0.500 0.500 0.834

## Properties
space group	P4mm, No. 99

***

2:
An optimized crystal structure of BaSr2Ir. Source: Alexandria via LeMat-Bulk, functional PBEsol.

a b c (Å): 3.692 3.692 10.675
angles (deg): 90.00 90.00 90.00
Fractional positions:
Ba 0.000 0.000 0.000
Sr 0.500 0.500 0.343
Sr 0.500 0.500 0.657
Ir 0.000 0.000 0.500

## Properties
space group	P4/mmm, No. 123

***

Which of them is most stable, and which least? Most stable: 2; least stable: 1.